Computed, not measured: a geometry-optimized CdCo2NiO4 structure at the GGA+U level of DFT.

Total magnetization ... 8.01 μB/f.u.
Electronic total energy ... -5.11 eV/atom
Space group ... Fmm2 (42)

a = 4.441 Å, b = 4.441 Å, c = 5.414 Å
α = 114.29°, β = 114.29°, γ = 89.83°
Sites, in units of the cell vectors:
Co  0.689  0.189  0.500
Co  0.189  0.689  0.500
O  0.937  0.437  0.000
O  0.666  0.666  0.462
O  0.437  0.937  0.000
O  0.204  0.204  0.538
Cd  0.937  0.937  0.000
Ni  0.438  0.438  0.000